First-principles (PBE-GGA) data for NpGe2Br8 after structural relaxation, as listed in Alexandria via LeMat-Bulk.

Cell lengths 7.882, 8.065, 7.981 Å; angles 91.07, 90.00, 119.25 degrees
Sites, in units of the cell vectors:
Np1 0.000 0.000 0.000
Ge1 0.867 0.735 0.545
Ge2 0.133 0.265 0.455
Br1 0.826 0.128 0.242
Br2 0.302 0.128 0.242
Br3 0.174 0.872 0.758
Br4 0.295 0.589 0.375
Br5 0.698 0.872 0.758
Br6 0.826 0.652 0.139
Br7 0.174 0.348 0.861
Br8 0.705 0.411 0.625

Values from the calculation:
Its space-group type is C2/m (12). The energy is -0.1494 Ha/atom. The spin magnetization is 3.00 μB per cell. The energy relative to the elements, uncorrected is -9.2 eV per formula unit. The calculation puts the energy above the lowest structure with this stoichiometry at 0.000 eV per atom.

First-principles (PBE-GGA) data for NpGeBr6 after structural relaxation, as listed in Alexandria via LeMat-Bulk.

Cell lengths 7.417, 7.417, 6.954 Å; angles 97.86, 97.86, 124.00 degrees
Sites, in units of the cell vectors:
Np1 0.500 0.500 0.500
Ge1 0.000 0.000 0.000
Br1 0.603 0.891 0.750
Br2 0.891 0.603 0.750
Br3 0.109 0.397 0.250
Br4 0.397 0.109 0.250
Br5 0.251 0.251 0.744
Br6 0.749 0.749 0.256

Values from the calculation:
Its space-group type is C2/m (12). The energy is -0.1620 Ha/atom. The spin magnetization is 3.00 μB per cell. The energy relative to the elements, uncorrected is -7.7 eV per formula unit.

First-principles (PBE-GGA) data for NpGeBr after structural relaxation, as listed in Alexandria via LeMat-Bulk.

Cell lengths 3.910, 3.909, 12.979 Å; angles 90.79, 81.34, 59.99 degrees
Sites, in units of the cell vectors:
Np1 0.809 0.086 0.296
Np2 0.191 0.914 0.704
Ge1 0.635 0.185 0.546
Ge2 0.365 0.815 0.454
Br1 0.248 0.360 0.145
Br2 0.752 0.640 0.855

Values from the calculation:
Its space-group type is C2/m (12). The energy is -0.2555 Ha/atom. The spin magnetization is 9.81 μB per cell. The energy relative to the elements, uncorrected is -1.6 eV per formula unit.

First-principles (PBE-GGA) data for RbNpGeBr6 after structural relaxation, as listed in Alexandria via LeMat-Bulk.

Cell lengths 10.612, 10.337, 10.506 Å; angles 119.47, 120.33, 90.00 degrees
Sites, in units of the cell vectors:
Rb1 0.779 0.529 0.558
Rb2 0.221 0.471 0.442
Np1 0.500 0.000 0.500
Np2 0.000 0.000 0.500
Ge1 0.500 0.500 0.000
Ge2 0.500 0.000 0.000
Br1 0.444 0.694 0.889
Br2 0.831 0.081 0.661
Br3 0.825 0.098 0.265
Br4 0.441 0.667 0.265
Br5 0.441 0.098 0.265
Br6 0.825 0.667 0.265
Br7 0.556 0.306 0.111
Br8 0.169 0.919 0.339
Br9 0.175 0.902 0.735
Br10 0.559 0.333 0.735
Br11 0.559 0.902 0.735
Br12 0.175 0.333 0.735

Values from the calculation:
Its space-group type is Imma (74). The energy is -0.1572 Ha/atom. The spin magnetization is 8.00 μB per cell. The energy relative to the elements, uncorrected is -9.9 eV per formula unit.

First-principles (PBE-GGA) data for NpTlGeBr6 after structural relaxation, as listed in Alexandria via LeMat-Bulk.

Cell lengths 7.455, 7.455, 14.423 Å; angles 90.00, 90.00, 120.00 degrees
Sites, in units of the cell vectors:
Np1 0.333 0.667 0.250
Np2 0.667 0.333 0.750
Tl1 0.000 0.000 0.000
Tl2 0.000 0.000 0.500
Ge1 0.667 0.333 0.250
Ge2 0.333 0.667 0.750
Br1 0.636 0.630 0.138
Br2 0.994 0.364 0.138
Br3 0.364 0.994 0.638
Br4 0.006 0.636 0.862
Br5 0.370 0.364 0.362
Br6 0.994 0.630 0.362
Br7 0.630 0.994 0.862
Br8 0.636 0.006 0.362
Br9 0.006 0.370 0.638
Br10 0.370 0.006 0.138
Br11 0.630 0.636 0.638
Br12 0.364 0.370 0.862

Values from the calculation:
Its space-group type is P-31c (163). The energy is -0.1580 Ha/atom. The spin magnetization is 8.00 μB per cell. The energy relative to the elements, uncorrected is -8.7 eV per formula unit.

First-principles (PBE-GGA) data for GeBrO2 after structural relaxation, as listed in Alexandria via LeMat-Bulk.

Cell lengths 5.703, 5.703, 5.699 Å; angles 59.97, 59.97, 90.00 degrees
Sites, in units of the cell vectors:
Ge1 0.500 0.500 0.000
Ge2 0.250 0.750 0.500
O1 0.393 0.125 0.250
O2 0.357 0.625 0.250
O3 0.375 0.607 0.750
O4 0.875 0.643 0.750
Br1 0.000 0.000 0.000
Br2 0.750 0.250 0.500

Values from the calculation:
Its space-group type is I-42d (122). The energy is -0.1777 Ha/atom. The spin magnetization is 2.00 μB per cell. The energy relative to the elements, uncorrected is -3.1 eV per formula unit. The calculation puts the energy above the lowest structure with this stoichiometry at 0.201 eV per atom.

First-principles (PBE-GGA) data for GeBrO2 after structural relaxation, as listed in Alexandria via LeMat-Bulk.

Cell lengths 4.273, 4.273, 4.273 Å; angles 60.00, 60.00, 60.00 degrees
Sites, in units of the cell vectors:
Ge1 0.000 0.000 0.000
O1 0.250 0.250 0.250
O2 0.750 0.750 0.750
Br1 0.500 0.500 0.500

Values from the calculation:
Its space-group type is Fm-3m (225). The energy is -0.1261 Ha/atom. The spin magnetization is 2.11 μB per cell. The energy relative to the elements, uncorrected is 2.5 eV per formula unit. The calculation puts the energy above the lowest structure with this stoichiometry at 1.604 eV per atom.

First-principles (PBE-GGA) data for GeBrO after structural relaxation, as listed in Alexandria via LeMat-Bulk.

Cell lengths 5.930, 5.625, 13.385 Å; angles 90.00, 104.50, 90.00 degrees
Sites, in units of the cell vectors:
Ge1 0.986 0.000 0.782
Ge2 0.986 0.500 0.282
Ge3 0.236 0.000 0.373
Ge4 0.236 0.500 0.873
O1 0.146 0.239 0.278
O2 0.146 0.761 0.278
O3 0.146 0.739 0.778
O4 0.146 0.261 0.778
Br1 0.861 0.000 0.935
Br2 0.861 0.500 0.435
Br3 0.666 0.000 0.643
Br4 0.666 0.500 0.143

Values from the calculation:
Its space-group type is Cm (8). The energy is -0.1731 Ha/atom. The spin magnetization is 0.00 μB per cell. The energy relative to the elements, uncorrected is -2.9 eV per formula unit. The calculation puts the energy above the lowest structure with this stoichiometry at 0.044 eV per atom.

First-principles (PBE-GGA) data for GeBr3O after structural relaxation, as listed in Alexandria via LeMat-Bulk.

Cell lengths 4.793, 4.793, 4.793 Å; angles 90.00, 90.00, 90.00 degrees
Sites, in units of the cell vectors:
Ge1 0.500 0.500 0.500
O1 0.000 0.000 0.000
Br1 0.000 0.500 0.000
Br2 0.000 0.000 0.500
Br3 0.500 0.000 0.000

Values from the calculation:
Its space-group type is Pm-3m (221). The energy is -0.0905 Ha/atom. The spin magnetization is 0.00 μB per cell. The energy relative to the elements, uncorrected is 2.3 eV per formula unit. The calculation puts the energy above the lowest structure with this stoichiometry at 0.064 eV per atom.

First-principles (PBE-GGA) data for GeBrO2 after structural relaxation, as listed in Alexandria via LeMat-Bulk.

Cell lengths 9.866, 9.866, 9.866 Å; angles 19.83, 19.83, 19.83 degrees
Sites, in units of the cell vectors:
Ge1 0.000 0.000 0.000
O1 0.944 0.944 0.944
O2 0.056 0.056 0.056
Br1 0.500 0.500 0.500

Values from the calculation:
Its space-group type is R-3m (166). The energy is -0.1462 Ha/atom. The spin magnetization is 0.34 μB per cell. The energy relative to the elements, uncorrected is 0.3 eV per formula unit. The calculation puts the energy above the lowest structure with this stoichiometry at 1.058 eV per atom.

First-principles (PBE-GGA) data for GeBr3O after structural relaxation, as listed in Alexandria via LeMat-Bulk.

Cell lengths 5.261, 5.261, 5.261 Å; angles 90.00, 90.00, 90.00 degrees
Sites, in units of the cell vectors:
Ge1 0.000 0.000 0.000
O1 0.500 0.500 0.500
Br1 0.000 0.500 0.000
Br2 0.000 0.000 0.500
Br3 0.500 0.000 0.000

Values from the calculation:
Its space-group type is Pm-3m (221). The energy is -0.0929 Ha/atom. The spin magnetization is 2.23 μB per cell. The energy relative to the elements, uncorrected is 2.0 eV per formula unit. The calculation puts the energy above the lowest structure with this stoichiometry at 0.000 eV per atom.

First-principles (PBE-GGA) data for GeBrO after structural relaxation, as listed in Alexandria via LeMat-Bulk.

Cell lengths 4.761, 3.176, 4.753 Å; angles 90.00, 90.00, 90.00 degrees
Sites, in units of the cell vectors:
Ge1 0.500 0.000 0.003
Br1 0.000 0.000 0.801
O1 0.500 0.500 0.209

Values from the calculation:
Its space-group type is Pmm2 (25). The energy is -0.1637 Ha/atom. The spin magnetization is 0.00 μB per cell. The energy relative to the elements, uncorrected is -2.1 eV per formula unit. The calculation puts the energy above the lowest structure with this stoichiometry at 0.299 eV per atom.

First-principles (PBE-GGA) data for GeBrO after structural relaxation, as listed in Alexandria via LeMat-Bulk.

Cell lengths 3.928, 4.683, 11.372 Å; angles 122.54, 90.03, 65.23 degrees
Sites, in units of the cell vectors:
Ge1 0.584 0.833 0.560
Ge2 0.416 0.167 0.440
Br1 0.380 0.242 0.813
Br2 0.620 0.758 0.187
O1 0.849 0.302 0.473
O2 0.151 0.698 0.527

Values from the calculation:
Its space-group type is P-1 (2). The energy is -0.1742 Ha/atom. The spin magnetization is 0.00 μB per cell. The energy relative to the elements, uncorrected is -3.0 eV per formula unit. The calculation puts the energy above the lowest structure with this stoichiometry at 0.015 eV per atom.

First-principles (PBE-GGA) data for GeBrO2 after structural relaxation, as listed in Alexandria via LeMat-Bulk.

Cell lengths 8.731, 8.731, 8.731 Å; angles 19.17, 19.17, 19.17 degrees
Sites, in units of the cell vectors:
Ge1 0.500 0.500 0.500
O1 0.871 0.871 0.871
O2 0.129 0.129 0.129
Br1 0.000 0.000 0.000

Values from the calculation:
Its space-group type is R-3m (166). The energy is -0.1851 Ha/atom. The spin magnetization is 0.00 μB per cell. The energy relative to the elements, uncorrected is -3.9 eV per formula unit. The calculation puts the energy above the lowest structure with this stoichiometry at 0.000 eV per atom.

First-principles (PBE-GGA) data for GeBrO after structural relaxation, as listed in Alexandria via LeMat-Bulk.

Cell lengths 5.107, 6.450, 6.628 Å; angles 118.91, 112.09, 90.71 degrees
Sites, in units of the cell vectors:
Ge1 0.425 0.973 0.596
Ge2 0.915 0.298 0.597
Br1 0.508 0.943 0.952
Br2 0.158 0.586 0.242
O1 0.762 0.034 0.596
O2 0.252 0.206 0.595

Values from the calculation:
Its space-group type is P1 (1). The energy is -0.1747 Ha/atom. The spin magnetization is 0.00 μB per cell. The energy relative to the elements, uncorrected is -3.0 eV per formula unit. The calculation puts the energy above the lowest structure with this stoichiometry at 0.000 eV per atom.

First-principles (PBE-GGA) data for GeBrO after structural relaxation, as listed in Alexandria via LeMat-Bulk.

Cell lengths 4.126, 4.126, 12.441 Å; angles 90.00, 90.00, 109.42 degrees
Sites, in units of the cell vectors:
Ge1 0.499 0.501 0.000
Ge2 0.435 0.565 0.500
Br1 0.761 0.239 0.141
Br2 0.761 0.239 0.859
O1 0.439 0.561 0.631
O2 0.439 0.561 0.369

Values from the calculation:
Its space-group type is Amm2 (38). The energy is -0.1506 Ha/atom. The spin magnetization is 0.00 μB per cell. The energy relative to the elements, uncorrected is -1.0 eV per formula unit. The calculation puts the energy above the lowest structure with this stoichiometry at 0.656 eV per atom.

First-principles (PBE-GGA) data for GePBrO2 after structural relaxation, as listed in Alexandria via LeMat-Bulk.

Cell lengths 3.922, 3.922, 5.108 Å; angles 90.00, 90.00, 90.00 degrees
Sites, in units of the cell vectors:
P1 0.000 0.000 0.500
Ge1 0.500 0.500 0.500
O1 0.000 0.500 0.000
O2 0.500 0.000 0.000
Br1 0.000 0.000 0.000

Values from the calculation:
Its space-group type is P4/mmm (123). The energy is -0.1337 Ha/atom. The spin magnetization is 0.00 μB per cell. The energy relative to the elements, uncorrected is 3.4 eV per formula unit. The calculation puts the energy above the lowest structure with this stoichiometry at 0.919 eV per atom.

First-principles (PBE-GGA) data for GePBrO2 after structural relaxation, as listed in Alexandria via LeMat-Bulk.

Cell lengths 3.682, 3.682, 5.554 Å; angles 90.00, 90.00, 90.00 degrees
Sites, in units of the cell vectors:
P1 0.000 0.000 0.500
Ge1 0.000 0.000 0.000
O1 0.000 0.500 0.000
O2 0.500 0.000 0.000
Br1 0.500 0.500 0.500

Values from the calculation:
Its space-group type is P4/mmm (123). The energy is -0.1675 Ha/atom. The spin magnetization is 0.26 μB per cell. The energy relative to the elements, uncorrected is -1.2 eV per formula unit. The calculation puts the energy above the lowest structure with this stoichiometry at 0.000 eV per atom.

First-principles (PBE-GGA) data for GePb2Br2O2 after structural relaxation, as listed in Alexandria via LeMat-Bulk.

Cell lengths 3.939, 6.644, 7.869 Å; angles 107.54, 90.00, 107.24 degrees
Sites, in units of the cell vectors:
Ge1 0.000 0.000 0.500
Pb1 0.694 0.389 0.295
Pb2 0.306 0.611 0.705
Br1 0.594 0.187 0.782
Br2 0.406 0.813 0.218
O1 0.842 0.683 0.560
O2 0.158 0.317 0.440

Values from the calculation:
Its space-group type is C2/m (12). The energy is -0.1677 Ha/atom. The spin magnetization is 0.00 μB per cell. The energy relative to the elements, uncorrected is -6.6 eV per formula unit.

First-principles (PBE-GGA) data for GeSeBr2O after structural relaxation, as listed in Alexandria via LeMat-Bulk.

Cell lengths 5.241, 5.241, 5.230 Å; angles 90.00, 90.00, 90.00 degrees
Sites, in units of the cell vectors:
O1 0.500 0.500 0.500
Ge1 0.000 0.000 0.000
Se1 0.000 0.000 0.500
Br1 0.000 0.500 0.000
Br2 0.500 0.000 0.000

Values from the calculation:
Its space-group type is P4/mmm (123). The energy is -0.0985 Ha/atom. The spin magnetization is 3.31 μB per cell. The energy relative to the elements, uncorrected is 3.0 eV per formula unit. The calculation puts the energy above the lowest structure with this stoichiometry at 0.164 eV per atom.